Entry from Alexandria: crystalline MnAg3Au12 at its relaxed geometry (PBE-GGA).

Structure (POSCAR):
```
MnAg3Au12
1.0
4.151 0.000 0.000
0.000 4.151 0.000
0.000 0.000 16.544
Mn Ag Au
1 3 12
direct
0.000 0.000 0.000
0.000 0.000 0.248
0.000 0.000 0.500
0.000 0.000 0.752
0.000 0.500 0.121
0.000 0.500 0.374
0.000 0.500 0.626
0.000 0.500 0.879
0.500 0.000 0.121
0.500 0.000 0.374
0.500 0.000 0.626
0.500 0.000 0.879
0.500 0.500 0.000
0.500 0.500 0.248
0.500 0.500 0.500
0.500 0.500 0.752
```

Energy relative to the elements in eV per atom: -0.038
Total DFT energy (no corrections) in eV/cell: -57.655